Entry a
LuFeAgBi: relaxed, PBE.

```
LuFeAgBi
1.0
0.0000 3.4579 3.4579
3.4579 0.0000 3.4579
3.4579 3.4579 0.0000
Bi Ag Fe Lu
1 1 1 1
direct
0.0000 0.0000 0.0000 Bi
0.2500 0.2500 0.2500 Ag
0.7500 0.7500 0.7500 Fe
0.5000 0.5000 0.5000 Lu
```



Entry b
LuFeAgBi: relaxed, PBE.

```
LuFeAgBi
1.0
0.0000 3.4917 3.4917
3.4917 0.0000 3.4917
3.4917 3.4917 0.0000
Ag Bi Fe Lu
1 1 1 1
direct
0.5000 0.5000 0.5000 Ag
0.0000 0.0000 0.0000 Bi
0.7500 0.7500 0.7500 Fe
0.2500 0.2500 0.2500 Lu
```



Which structure is most stable? entry b, by 23 meV/atom over the runner-up.



Entry a
ScFeAgBi: relaxed, PBE.

```
ScFeAgBi
1.0
0.0000 3.3333 3.3333
3.3333 0.0000 3.3333
3.3333 3.3333 0.0000
Fe Bi Ag Sc
1 1 1 1
direct
0.7500 0.7500 0.7500 Fe
0.0000 0.0000 0.0000 Bi
0.5000 0.5000 0.5000 Ag
0.2500 0.2500 0.2500 Sc
```



Entry b
ScFeAgBi: relaxed, PBE.

```
ScFeAgBi
1.0
0.0000 3.3943 3.3943
3.3943 0.0000 3.3943
3.3943 3.3943 0.0000
Fe Bi Sc Ag
1 1 1 1
direct
0.7500 0.7500 0.7500 Fe
0.0000 0.0000 0.0000 Bi
0.5000 0.5000 0.5000 Sc
0.2500 0.2500 0.2500 Ag
```



Which structure is most stable? entry a, by 19 meV/atom over the runner-up.



Entry a
TaFeAgBi: relaxed, PBE.

```
TaFeAgBi
1.0
-3.8432 -2.5786 -0.5319
-3.2629 -0.0309 3.3249
-4.1071 2.0675 -0.7478
Ag Ta Bi Fe
1 1 1 1
direct
0.5000 0.5000 0.5000 Ag
0.2500 0.2500 0.2500 Ta
0.0000 0.0000 0.0000 Bi
0.7500 0.7500 0.7500 Fe
```



Entry b
TaFeAgBi: relaxed, PBE.

```
TaFeAgBi
1.0
0.0000 3.3092 3.3092
3.3092 0.0000 3.3092
3.3092 3.3092 0.0000
Bi Ta Fe Ag
1 1 1 1
direct
0.0000 0.0000 0.0000 Bi
0.5000 0.5000 0.5000 Ta
0.7500 0.7500 0.7500 Fe
0.2500 0.2500 0.2500 Ag
```



Which structure is most stable? entry b, by 40 meV/atom over the runner-up.



Entry a
Ga2AgBi2: relaxed, PBE.

```
Ga2AgBi2
1.0
2.8252 5.0503 2.8305
-2.9706 5.5640 -1.3102
-2.0129 -5.7461 2.1048
Ga Bi Ag
2 2 1
direct
0.6123 0.6123 0.0000 Ga
0.3877 0.3877 0.0000 Ga
0.7500 0.2500 0.5000 Bi
0.2500 0.7500 0.5000 Bi
0.0000 0.0000 0.0000 Ag
```



Entry b
Ga2AgBi2: relaxed, PBE.

```
Ga2AgBi2
1.0
-2.0439 2.0439 7.5587
2.0439 -2.0439 7.5587
2.0439 2.0439 -7.5587
Bi Ga Ag
2 2 1
direct
0.3934 0.3934 0.0000 Bi
0.6066 0.6066 0.0000 Bi
0.7500 0.2500 0.5000 Ga
0.2500 0.7500 0.5000 Ga
0.0000 0.0000 0.0000 Ag
```



Which structure is most stable? entry b, by 84 meV/atom over the runner-up.



Entry a
Li4Ag2BiSb: relaxed, PBE.

```
Li4Ag2BiSb
1.0
4.7217 0.0000 0.0000
0.0000 4.7217 0.0000
0.0000 0.0000 6.6867
Bi Ag Li Sb
1 2 4 1
direct
0.0000 0.0000 0.5000 Bi
0.0000 0.5000 0.7617 Ag
0.5000 0.0000 0.2383 Ag
0.0000 0.5000 0.2454 Li
0.5000 0.5000 0.5000 Li
0.5000 0.0000 0.7546 Li
0.0000 0.0000 0.0000 Li
0.5000 0.5000 0.0000 Sb
```



Entry b
Li4Ag2BiSb: relaxed, PBE.

```
Li4Ag2BiSb
1.0
-4.1584 -2.3652 -2.7614
1.3364 -4.8716 2.1602
-3.4603 1.3621 4.0443
Ag Li Sb Bi
2 4 1 1
direct
0.2499 0.9941 0.9941 Ag
0.7501 0.9941 0.9941 Ag
0.0000 0.4908 0.8489 Li
0.5000 0.1530 0.5182 Li
0.5000 0.5182 0.1530 Li
0.0000 0.8489 0.4908 Li
0.5000 0.6746 0.6746 Sb
0.0000 0.3262 0.3262 Bi
```



Which structure is most stable? entry a, by 32 meV/atom over the runner-up.



Entry a
AgBiNO: relaxed, PBE.

```
AgBiNO
1.0
-2.6591 2.7719 0.4444
0.0797 0.6865 -3.8045
-5.8567 -5.4413 -1.1046
Ag Bi N O
2 2 2 2
direct
0.7500 0.2500 0.5000 Ag
0.2500 0.7500 0.5000 Ag
0.2500 0.2500 0.1597 Bi
0.7500 0.7500 0.8403 Bi
0.2500 0.2500 0.6661 N
0.7500 0.7500 0.3339 N
0.2500 0.7500 0.0000 O
0.7500 0.2500 0.0000 O
```



Entry b
AgBiNO: relaxed, PBE.

```
AgBiNO
1.0
-0.8243 -0.7914 6.5044
6.6738 -1.6939 0.6397
1.3885 5.8034 0.8821
O Bi Ag N
4 4 4 4
direct
0.9825 0.5919 0.6623 O
0.4825 0.4081 0.6623 O
0.5175 0.5919 0.1623 O
0.0175 0.4081 0.1623 O
0.1218 0.6579 0.9837 Bi
0.8781 0.3421 0.4837 Bi
0.6218 0.3421 0.9837 Bi
0.3781 0.6579 0.4837 Bi
0.6412 0.8888 0.9501 Ag
0.1412 0.1112 0.9501 Ag
0.3588 0.1112 0.4501 Ag
0.8588 0.8888 0.4501 Ag
0.5678 0.8935 0.6062 N
0.4322 0.1065 0.1062 N
0.9322 0.8935 0.1062 N
0.0678 0.1065 0.6062 N
```



Which structure is most stable? entry b, by 71 meV/atom over the runner-up.



Entry a
RbNaAgBi: relaxed, PBE.

```
RbNaAgBi
1.0
-5.0092 -3.7955 0.4279
1.9895 -3.1616 -4.7530
4.9472 -3.2059 4.2033
Ag Rb Bi Na
2 2 2 2
direct
0.0000 0.0000 0.0000 Ag
0.0000 0.5000 0.0000 Ag
0.5592 0.7500 0.1750 Rb
0.4408 0.2500 0.8250 Rb
0.2461 0.2500 0.3054 Bi
0.7539 0.7500 0.6946 Bi
0.1683 0.7500 0.4877 Na
0.8317 0.2500 0.5123 Na
```



Entry b
RbNaAgBi: relaxed, PBE.

```
RbNaAgBi
1.0
-4.4514 3.6166 2.5250
-4.6748 -4.0707 -2.4109
-0.7652 -4.3895 4.9380
Bi Na Ag Rb
2 2 2 2
direct
0.2500 0.2730 0.7142 Bi
0.7500 0.7142 0.2730 Bi
0.7500 0.5221 0.8279 Na
0.2500 0.8279 0.5221 Na
0.0000 0.0087 0.0087 Ag
0.5000 0.0087 0.0087 Ag
0.2500 0.4796 0.1658 Rb
0.7500 0.1658 0.4796 Rb
```



Which structure is most stable? entry a, by 42 meV/atom over the runner-up.



Entry a
RbAgBi: relaxed, PBE.

```
RbAgBi
1.0
4.9249 -0.6646 1.8854
1.5234 2.5458 4.4101
0.7781 -2.7160 4.5021
Bi Ag Rb
1 1 1
direct
0.2500 0.2500 0.2500 Bi
0.0000 0.0000 0.0000 Ag
0.7500 0.7500 0.7500 Rb
```



Entry b
RbAgBi: relaxed, PBE.

```
RbAgBi
1.0
-4.3755 0.0320 3.4799
-5.2011 0.0682 -2.0494
-3.2433 -4.5311 0.4547
Bi Rb Ag
1 1 1
direct
0.7500 0.7500 0.7500 Bi
0.0000 0.0000 0.0000 Rb
0.2500 0.2500 0.2500 Ag
```



Which structure is most stable? entry a, by 557 meV/atom over the runner-up.



Entry a
AgBiSeS: relaxed, PBE.

```
AgBiSeS
1.0
-4.0163 2.1001 0.6493
-2.1886 -3.9465 -0.7730
0.4052 -1.9529 8.8227
Se Bi S Ag
2 2 2 2
direct
0.0000 0.5000 0.6779 Se
0.5000 0.0000 0.3221 Se
0.0000 0.5000 0.1681 Bi
0.5000 0.0000 0.8319 Bi
0.0000 0.0000 0.0000 S
0.5000 0.5000 0.0000 S
0.5000 0.5000 0.5000 Ag
0.0000 0.0000 0.5000 Ag
```



Entry b
AgBiSeS: relaxed, PBE.

```
AgBiSeS
1.0
-2.9058 1.0037 3.6664
-1.0560 -4.6464 0.4350
6.2642 -0.9349 5.2207
S Se Ag Bi
2 2 2 2
direct
0.5000 0.0000 0.3499 S
0.0000 0.5000 0.6501 S
0.5000 0.5000 0.0000 Se
0.0000 0.0000 0.0000 Se
0.0000 0.0000 0.5000 Ag
0.5000 0.5000 0.5000 Ag
0.0000 0.5000 0.1958 Bi
0.5000 0.0000 0.8042 Bi
```



Which structure is most stable? entry a, by 112 meV/atom over the runner-up.



Entry a
SmAgBiSb: relaxed, PBE.

```
SmAgBiSb
1.0
4.4851 0.0000 0.0000
0.0000 4.4851 0.0000
0.0000 0.0000 10.4250
Bi Ag Sm Sb
2 2 2 2
direct
0.0000 0.5000 0.8100 Bi
0.5000 0.0000 0.1900 Bi
0.5000 0.5000 0.0000 Ag
0.0000 0.0000 0.0000 Ag
0.5000 0.0000 0.7366 Sm
0.0000 0.5000 0.2634 Sm
0.0000 0.0000 0.5000 Sb
0.5000 0.5000 0.5000 Sb
```



Entry b
SmAgBiSb: relaxed, PBE.

```
SmAgBiSb
1.0
4.4827 0.0000 0.0000
0.0000 4.4827 0.0000
0.0000 0.0000 10.4771
Ag Sm Bi Sb
2 2 2 2
direct
0.5000 0.5000 0.0000 Ag
0.0000 0.0000 0.0000 Ag
0.5000 0.0000 0.7487 Sm
0.0000 0.5000 0.2513 Sm
0.0000 0.0000 0.5000 Bi
0.5000 0.5000 0.5000 Bi
0.0000 0.5000 0.8222 Sb
0.5000 0.0000 0.1778 Sb
```



Which structure is most stable? entry b, by 41 meV/atom over the runner-up.



Entry a
AgBiTe: relaxed, PBE.

```
AgBiTe
1.0
6.9747 0.0000 0.0000
0.0000 4.3553 0.0000
0.0000 0.0000 12.1014
Bi Ag Te
4 4 4
direct
0.8135 0.7500 0.1306 Bi
0.6865 0.2500 0.6306 Bi
0.3135 0.7500 0.3694 Bi
0.1865 0.2500 0.8694 Bi
0.0869 0.2500 0.1332 Ag
0.5869 0.2500 0.3668 Ag
0.9131 0.7500 0.8668 Ag
0.4131 0.7500 0.6332 Ag
0.1589 0.2500 0.6251 Te
0.3411 0.7500 0.1251 Te
0.6589 0.2500 0.8749 Te
0.8411 0.7500 0.3749 Te
```



Entry b
AgBiTe: relaxed, PBE.

```
AgBiTe
1.0
0.0000 3.6450 3.6450
3.6450 0.0000 3.6450
3.6450 3.6450 0.0000
Bi Te Ag
1 1 1
direct
0.0000 0.0000 0.0000 Bi
0.7500 0.7500 0.7500 Te
0.2500 0.2500 0.2500 Ag
```



Entry c
AgBiTe: relaxed, PBE.

```
AgBiTe
1.0
4.5107 0.0000 0.0000
-2.2554 3.9064 0.0000
0.0000 0.0000 9.6379
Bi Ag Te
2 2 2
direct
0.3333 0.6667 0.0953 Bi
0.6667 0.3333 0.5953 Bi
0.0000 0.0000 0.2520 Ag
0.0000 0.0000 0.7520 Ag
0.6667 0.3333 0.9028 Te
0.3333 0.6667 0.4028 Te
```



Which structure is most stable? entry a, by 70 meV/atom over the runner-up.



Entry a
K2AgGeBr6: relaxed, PBE.

```
K2AgGeBr6
1.0
7.5091 0.0000 0.0000
0.0000 7.7443 0.0000
-7.4861 0.0000 10.7772
Br Ag K Ge
12 2 4 2
direct
0.1745 0.7999 0.9633 Br
0.8255 0.2001 0.0367 Br
0.6747 0.0054 0.2444 Br
0.1745 0.7001 0.4633 Br
0.8255 0.2999 0.5367 Br
0.3253 0.9946 0.7556 Br
0.3253 0.5054 0.2556 Br
0.7320 0.7124 0.0331 Br
0.7320 0.7876 0.5331 Br
0.2680 0.2876 0.9669 Br
0.6747 0.4946 0.7444 Br
0.2680 0.2124 0.4669 Br
0.0000 0.5000 0.0000 Ag
0.0000 0.0000 0.5000 Ag
0.7704 0.0662 0.7505 K
0.7704 0.4338 0.2505 K
0.2296 0.9338 0.2495 K
0.2296 0.5662 0.7495 K
0.5000 0.5000 0.5000 Ge
0.5000 0.0000 0.0000 Ge
```



Entry b
K2AgGeBr6: relaxed, PBE.

```
K2AgGeBr6
1.0
-0.8120 1.0649 7.5712
1.1378 7.5767 -0.6443
-5.4022 -3.5905 -4.1280
Br K Ag Ge
6 2 1 1
direct
0.3018 0.8109 0.1127 Br
0.2421 0.2421 0.0000 Br
0.6982 0.1891 0.8873 Br
0.1891 0.3018 0.4909 Br
0.8109 0.6982 0.5091 Br
0.7579 0.7579 0.0000 Br
0.7500 0.2500 0.5000 K
0.2500 0.7500 0.5000 K
0.5000 0.5000 0.0000 Ag
0.0000 0.0000 0.0000 Ge
```



Which structure is most stable? entry a, by 5 meV/atom over the runner-up.